Record 1
LiPd2Pt2 after structural relaxation, computed with PBE.

Properties
D(E_F)   14.49 states/eV per cell
Excess energy over the best structure of this formula in the dataset   381 meV/atom
M_tot   0.0 μB per cell
V   17.86 Å³ per atom

a b c (Å): 3.798 3.798 12.385
angles (deg): 90.00 90.00 90.00
Fractional positions:
Li (0.000, 0.000, 0.000)
Li (0.500, 0.500, 0.500)
Pd (0.000, 0.500, 0.250)
Pd (0.000, 0.500, 0.750)
Pd (0.500, 0.000, 0.250)
Pd (0.500, 0.000, 0.750)
Pt (0.000, 0.000, 0.402)
Pt (0.000, 0.000, 0.598)
Pt (0.500, 0.500, 0.098)
Pt (0.500, 0.500, 0.902)

Record 2
Li2Pd2Pt after structural relaxation, computed with PBE.

Properties
D(E_F)   6.53 states/eV per cell
Excess energy over the best structure of this formula in the dataset   278 meV/atom
M_tot   0.0 μB per cell
V   14.25 Å³ per atom

a b c (Å): 4.486 4.486 7.082
angles (deg): 90.00 90.00 90.00
Fractional positions:
Li (0.000, 0.000, 0.143)
Li (0.000, 0.000, 0.857)
Li (0.500, 0.500, 0.357)
Li (0.500, 0.500, 0.643)
Pd (0.000, 0.500, 0.250)
Pd (0.000, 0.500, 0.750)
Pd (0.500, 0.000, 0.250)
Pd (0.500, 0.000, 0.750)
Pt (0.000, 0.000, 0.500)
Pt (0.500, 0.500, 0.000)

Record 3
LiPd8Pt2 after structural relaxation, computed with PBE.

Properties
D(E_F)   21.27 states/eV per cell
Total energy   -52.999 eV per cell
M_tot   0.0 μB per cell
V   17.08 Å³ per atom

a b c (Å): 6.504 6.504 4.697
angles (deg): 103.21 103.21 83.31
Fractional positions:
Li (0.000, 0.000, 0.000)
Pd (0.159, 0.679, 0.199)
Pd (0.269, 0.269, 0.110)
Pd (0.321, 0.841, 0.801)
Pd (0.421, 0.421, 0.703)
Pd (0.579, 0.579, 0.297)
Pd (0.679, 0.159, 0.199)
Pd (0.731, 0.731, 0.890)
Pd (0.841, 0.321, 0.801)
Pt (0.137, 0.137, 0.517)
Pt (0.863, 0.863, 0.483)

Record 4
Li2PdPt after structural relaxation, computed with PBE.

Properties
D(E_F)   7.18 states/eV per cell
Total energy   -51.301 eV per cell
M_tot   0.0 μB per cell
V   14.05 Å³ per atom

a b c (Å): 2.773 2.773 25.313
angles (deg): 90.00 90.00 120.00
Fractional positions:
Li (0.000, 0.000, 0.000)
Li (0.000, 0.000, 0.167)
Li (0.333, 0.667, 0.667)
Li (0.333, 0.667, 0.834)
Li (0.667, 0.333, 0.333)
Li (0.667, 0.333, 0.501)
Pd (0.000, 0.000, 0.584)
Pd (0.333, 0.667, 0.250)
Pd (0.667, 0.333, 0.917)
Pt (0.000, 0.000, 0.417)
Pt (0.333, 0.667, 0.084)
Pt (0.667, 0.333, 0.750)

Record 5
Li7Pd2Pt after structural relaxation, computed with PBE.

Properties
D(E_F)   3.39 states/eV per cell
Excess energy over the best structure of this formula in the dataset   0 meV/atom
M_tot   0.0 μB per cell
V   15.10 Å³ per atom

a b c (Å): 4.285 4.285 9.496
angles (deg): 90.00 90.00 120.00
Fractional positions:
Li (0.000, 0.000, 0.000)
Li (0.000, 0.000, 0.241)
Li (0.000, 0.000, 0.746)
Li (0.333, 0.667, 0.396)
Li (0.333, 0.667, 0.819)
Li (0.667, 0.333, 0.201)
Li (0.667, 0.333, 0.591)
Pd (0.000, 0.000, 0.494)
Pd (0.667, 0.333, 0.913)
Pt (0.333, 0.667, 0.099)

Record 6
Li14PdPt after structural relaxation, computed with PBE.

Properties
D(E_F)   7.05 states/eV per cell
Total energy   -40.716 eV per cell
M_tot   0.0 μB per cell
V   16.94 Å³ per atom

a b c (Å): 5.738 5.738 8.231
angles (deg): 90.00 90.00 90.00
Fractional positions:
Li (0.000, 0.000, 0.000)
Li (0.000, 0.500, 0.000)
Li (0.000, 0.500, 0.500)
Li (0.247, 0.247, 0.283)
Li (0.247, 0.247, 0.717)
Li (0.247, 0.753, 0.283)
Li (0.247, 0.753, 0.717)
Li (0.500, 0.000, 0.000)
Li (0.500, 0.000, 0.500)
Li (0.500, 0.500, 0.000)
Li (0.753, 0.247, 0.283)
Li (0.753, 0.247, 0.717)
Li (0.753, 0.753, 0.283)
Li (0.753, 0.753, 0.717)
Pd (0.500, 0.500, 0.500)
Pt (0.000, 0.000, 0.500)

Record 7
Li2Pd3Pt after structural relaxation, computed with PBE.

Properties
D(E_F)   8.96 states/eV per cell
Total energy   -55.369 eV per cell
M_tot   0.0 μB per cell
V   14.55 Å³ per atom

a b c (Å): 4.784 8.224 4.723
angles (deg): 90.00 109.98 90.00
Fractional positions:
Li (0.000, 0.165, 0.000)
Li (0.000, 0.835, 0.000)
Li (0.500, 0.335, 0.000)
Li (0.500, 0.665, 0.000)
Pd (0.000, 0.000, 0.500)
Pd (0.000, 0.335, 0.500)
Pd (0.000, 0.665, 0.500)
Pd (0.500, 0.165, 0.500)
Pd (0.500, 0.500, 0.500)
Pd (0.500, 0.835, 0.500)
Pt (0.000, 0.500, 0.000)
Pt (0.500, 0.000, 0.000)

Record 8
Li2Pd5Pt2 after structural relaxation, computed with PBE.

Properties
D(E_F)   22.54 states/eV per cell
Total energy   -85.211 eV per cell
M_tot   0.0 μB per cell
V   14.84 Å³ per atom

a b c (Å): 8.645 8.645 8.645
angles (deg): 143.16 58.78 135.89
Fractional positions:
Li (0.168, 0.133, 0.035)
Li (0.402, 0.867, 0.535)
Li (0.598, 0.133, 0.465)
Li (0.832, 0.867, 0.965)
Pd (0.137, 0.000, 0.637)
Pd (0.137, 0.500, 0.137)
Pd (0.203, 0.953, 0.250)
Pd (0.404, 0.000, 0.904)
Pd (0.404, 0.500, 0.404)
Pd (0.596, 0.000, 0.096)
Pd (0.596, 0.500, 0.596)
Pd (0.797, 0.047, 0.750)
Pd (0.863, 0.000, 0.363)
Pd (0.863, 0.500, 0.863)
Pt (0.000, 0.500, 0.500)
Pt (0.212, 0.462, 0.750)
Pt (0.500, 0.500, 0.000)
Pt (0.788, 0.538, 0.250)